PBE Nd4GeRhBr2, optimized geometry; E_form (uncorrected) = -1.05 eV/atom; space-group type = P2/m; E = -5.352 eV/atom; total magnetic moment = 0.0 μB/f.u.
1.0
-3.468 -1.090 -2.015
-0.646 -6.129 4.429
-3.878 5.782 3.547
Br Rh Nd Ge
2 1 4 1
direct
0.000 0.500 0.500
0.500 0.000 0.500
0.500 0.500 0.000
0.000 0.723 0.200
0.500 0.247 0.204
0.500 0.753 0.796
0.000 0.277 0.800
0.000 0.000 0.000



PBE MgAlO2, optimized geometry; E_form (uncorrected) = -1.24 eV/atom; space-group type = Fm-3m; E = -5.049 eV/atom; relative energy among the computed polymorphs = 396 kJ/mol of formula units; total magnetic moment = 0.0 μB/f.u.
1.0
0.000 2.742 2.742
2.742 0.000 2.742
2.742 2.742 0.000
O Mg Al
2 1 1
direct
0.250 0.250 0.250
0.750 0.750 0.750
0.000 0.000 0.000
0.500 0.500 0.500



PBE InCuHg, optimized geometry; energy of formation = 0.258 eV per formula unit; space-group type = F-43m; E = -2.293 eV/atom; relative energy among the computed polymorphs = 0 kJ/mol of formula units; total magnetic moment = 0.0 μB/f.u.
1.0
-2.134 2.474 -3.104
-3.945 -1.396 -1.673
-3.799 2.175 1.073
Cu Hg In
1 1 1
direct
0.750 0.750 0.750
0.000 0.000 0.000
0.500 0.500 0.500



PBE AcTm3Pd, optimized geometry; energy of formation = -1.255 eV per formula unit; space-group type = Pm-3m; E = -4.794 eV/atom; total magnetic moment = 0.0 μB/f.u.
1.0
5.468 0.000 0.000
0.000 5.468 0.000
0.000 0.000 5.468
Tm Pd Ac
3 1 1
direct
0.500 0.000 0.000
0.000 0.500 0.000
0.000 0.000 0.500
0.000 0.000 0.000
0.500 0.500 0.500



PBE K2CdPdF6, optimized geometry; E_form (uncorrected) = -2.12 eV/atom; space-group type = Pmmn; E = -4.070 eV/atom; total magnetic moment = 2.0 μB/f.u.
1.0
6.233 0.000 0.000
0.000 6.244 0.000
0.000 0.000 8.822
K F Cd Pd
4 12 2 2
direct
0.500 0.750 0.250
0.000 0.250 0.250
0.500 0.750 0.750
0.000 0.250 0.750
0.752 0.503 0.000
0.248 0.503 0.000
0.247 0.998 0.000
0.253 0.002 0.500
0.753 0.998 0.000
0.252 0.497 0.500
0.000 0.750 0.752
0.748 0.497 0.500
0.500 0.250 0.748
0.747 0.002 0.500
0.500 0.250 0.252
0.000 0.750 0.248
0.500 0.250 0.000
0.000 0.750 0.500
0.500 0.250 0.500
0.000 0.750 0.000



PBE KNb3Hg, optimized geometry; energy of formation = 10.054 eV per formula unit; space-group type = Pm-3m; E = -4.311 eV/atom; relative energy among the computed polymorphs = 0 kJ/mol of formula units; total magnetic moment = 3.9 μB/f.u.
1.0
5.269 0.000 0.000
0.000 5.269 0.000
0.000 0.000 5.269
Nb Hg K
3 1 1
direct
0.000 0.000 0.500
0.000 0.500 0.000
0.500 0.000 0.000
0.000 0.000 0.000
0.500 0.500 0.500



PBE Y4Tl3Se8, optimized geometry; E_form (uncorrected) = -1.29 eV/atom; space-group type = C2/m; E = -5.343 eV/atom; total magnetic moment = 0.0 μB/f.u.
1.0
-2.185 -7.691 2.456
6.613 0.953 -5.233
3.731 5.217 5.557
Y Se Tl
4 8 3
direct
0.000 0.000 0.000
0.500 0.000 0.000
0.000 0.500 0.000
0.000 0.000 0.500
0.500 0.762 0.238
0.500 0.238 0.762
0.529 0.779 0.779
0.471 0.221 0.221
0.000 0.757 0.243
0.022 0.767 0.767
0.000 0.243 0.757
0.978 0.233 0.233
0.500 0.500 0.500
0.500 0.000 0.500
0.500 0.500 0.000



PBE LiMgRe, optimized geometry; energy of formation = 0.287 eV per formula unit; space-group type = P-3m1; E = -5.223 eV/atom; relative energy among the computed polymorphs = 12 kJ/mol of formula units; total magnetic moment = 0.0 μB/f.u.
1.0
-2.177 3.437 -1.605
-2.194 -3.363 1.732
0.198 2.615 5.329
Re Mg Li
2 2 2
direct
0.667 0.333 0.460
0.333 0.667 0.540
0.000 0.000 0.740
0.000 0.000 0.260
0.333 0.667 0.070
0.667 0.333 0.930



Question: Among the records above, which one has the lowest E?
Answer: Nd4GeRhBr2



Please write out number 1 again, unchanged.
PBE Nd4GeRhBr2, optimized geometry; E_form (uncorrected) = -1.05 eV/atom; space-group type = P2/m; E = -5.352 eV/atom; total magnetic moment = 0.0 μB/f.u.
1.0
-3.468 -1.090 -2.015
-0.646 -6.129 4.429
-3.878 5.782 3.547
Br Rh Nd Ge
2 1 4 1
direct
0.000 0.500 0.500
0.500 0.000 0.500
0.500 0.500 0.000
0.000 0.723 0.200
0.500 0.247 0.204
0.500 0.753 0.796
0.000 0.277 0.800
0.000 0.000 0.000



Question: Which formula does entry 7 have?
Answer: Y4Tl3Se8



Question: The lowest E belongs to which entry?
Answer: Nd4GeRhBr2